No. 1
MgSc12Al3 PBE relaxed; ΔE_f = -178 meV/atom; theoretical density = 3.02 g/cm3; space group = P4/mmm, No. 123
1.0
4.455 0.000 0.000
0.000 4.455 0.000
0.000 0.000 17.887
Mg Sc Al
1 12 3
Cartesian
0.000 0.000 0.000
0.000 2.227 2.380
0.000 2.227 6.748
0.000 2.227 11.139
0.000 2.227 15.507
2.227 0.000 2.380
2.227 0.000 6.748
2.227 0.000 11.139
2.227 0.000 15.507
2.227 2.227 0.000
2.227 2.227 4.558
2.227 2.227 8.943
2.227 2.227 13.329
0.000 0.000 4.536
0.000 0.000 8.943
0.000 0.000 13.351


No. 2
LaLuHg PBE relaxed; ΔE_f = -230 meV/atom; theoretical density = 9.50 g/cm3; space group = P-6m2, No. 187
1.0
5.133 0.000 0.000
-2.566 4.445 0.000
0.000 0.000 3.943
La Lu Hg
1 1 1
Cartesian
0.000 0.000 0.000
0.000 2.963 1.972
2.566 1.482 1.972


No. 3
HfGa2AgMo PBE relaxed; ΔE_f = 1141 meV/atom; theoretical density = 7.67 g/cm3; space group = P4/mmm, No. 123
1.0
4.635 0.000 0.000
0.000 4.635 0.000
0.000 0.000 5.254
Hf Ga Ag Mo
1 2 1 1
Cartesian
0.000 0.000 0.000
0.000 2.318 2.627
2.318 0.000 2.627
0.000 0.000 2.627
2.318 2.318 0.000


No. 4
SrTcO2 PBE relaxed; theoretical density = 5.50 g/cm3; space group = I-42d, No. 122; formation energy from raw total energies = -505 kJ/mol of formula units
1.0
-2.381 2.381 5.791
2.381 -2.381 5.791
2.381 2.381 -5.791
Sr Tc O
2 2 4
Cartesian
0.000 0.000 0.000
0.000 2.381 2.895
2.381 0.000 2.895
0.000 0.000 5.791
1.191 -0.711 4.343
1.670 1.191 1.448
1.191 3.092 -1.448
0.711 1.191 7.238


No. 5
Ca12Ge3F5 PBE relaxed; theoretical density = 2.59 g/cm3; space group = Ia-3d, No. 230; formation energy from raw total energies = -3039 kJ/mol of formula units
1.0
-7.984 7.984 7.984
7.984 -7.984 7.984
7.984 7.984 -7.984
Ca Ge F
48 12 20
Cartesian
2.476 -0.525 0.931
9.499 4.923 -4.517
10.460 0.525 0.931
9.499 -3.061 4.517
7.459 -0.931 2.476
12.501 -1.516 3.061
0.931 2.476 -0.525
11.045 3.467 -1.516
4.923 4.517 -1.516
7.053 2.476 0.525
-0.525 0.931 2.476
4.517 -1.516 4.923
7.459 7.053 -2.476
4.517 1.516 3.061
4.923 -4.517 9.499
7.053 -2.476 7.459
3.061 4.517 1.516
8.915 5.508 0.525
4.517 9.499 -3.061
7.459 0.931 5.508
2.476 7.459 -0.931
9.499 3.061 3.467
1.516 3.061 4.517
2.476 0.525 7.053
5.508 7.459 0.931
6.468 4.923 3.467
-1.516 4.923 4.517
5.508 0.525 8.915
0.525 7.053 2.476
3.467 -1.516 11.045
-0.931 2.476 7.459
4.923 3.467 6.468
0.931 10.460 0.525
3.061 12.501 -1.516
3.467 6.468 4.923
0.525 0.931 10.460
3.467 9.499 3.061
8.509 7.053 5.508
0.931 5.508 7.459
3.061 3.467 9.499
-3.061 4.517 9.499
7.053 5.508 8.509
-4.517 9.499 4.923
0.525 8.915 5.508
-1.516 11.045 3.467
-2.476 7.459 7.053
-1.516 3.061 12.501
5.508 8.509 7.053
3.992 1.996 0.000
7.984 3.992 -1.996
1.996 0.000 3.992
9.980 0.000 3.992
0.000 3.992 1.996
3.992 -1.996 7.984
3.992 9.980 0.000
7.984 3.992 5.988
-1.996 7.984 3.992
5.988 7.984 3.992
0.000 3.992 9.980
3.992 5.988 7.984
0.000 0.000 0.000
3.992 3.992 -3.992
3.992 -3.992 3.992
7.984 0.000 0.000
11.976 1.996 0.000
7.984 -3.992 5.988
5.988 7.984 -3.992
5.988 0.000 3.992
3.992 5.988 0.000
7.984 3.992 1.996
-3.992 3.992 3.992
0.000 7.984 0.000
0.000 0.000 7.984
3.992 3.992 3.992
0.000 3.992 5.988
3.992 1.996 7.984
1.996 7.984 3.992
1.996 0.000 11.976
0.000 11.976 1.996
-3.992 5.988 7.984


No. 6
KSr2TiO4 PBE relaxed; theoretical density = 3.62 g/cm3; space group = Cmcm, No. 63; formation energy from raw total energies = -1917 kJ/mol of formula units
1.0
1.826 -6.476 0.000
1.826 6.476 0.000
0.000 0.000 12.657
K Sr Ti O
2 4 2 8
Cartesian
1.826 5.515 9.493
1.826 -5.515 3.164
1.826 1.662 6.786
1.826 1.662 12.200
1.826 -1.662 0.457
1.826 -1.662 5.872
1.826 3.979 3.164
1.826 -3.979 9.493
0.000 0.000 0.000
0.000 0.000 6.329
1.826 3.229 1.460
1.826 3.229 4.869
1.826 1.673 9.493
1.826 -1.673 3.164
1.826 -3.229 7.788
1.826 -3.229 11.198


No. 7
Pu2CdSb PBE relaxed; theoretical density = 11.41 g/cm3; space group = P4/mmm, No. 123; formation energy from raw total energies = -129 kJ/mol of formula units
1.0
4.894 0.000 0.000
0.000 4.894 0.000
0.000 0.000 4.390
Pu Cd Sb
2 1 1
Cartesian
0.000 2.447 0.000
2.447 0.000 0.000
0.000 0.000 2.195
2.447 2.447 2.195


No. 8
TcPd4Pt5 PBE relaxed; ΔE_f = -90 meV/atom; theoretical density = 16.23 g/cm3; space group = P4/mmm, No. 123
1.0
2.776 0.000 0.000
0.000 2.776 0.000
0.000 0.000 19.916
Tc Pd Pt
1 4 5
Cartesian
0.000 0.000 0.000
0.000 0.000 3.948
0.000 0.000 7.964
0.000 0.000 11.952
0.000 0.000 15.967
1.388 1.388 1.888
1.388 1.388 5.967
1.388 1.388 9.958
1.388 1.388 13.948
1.388 1.388 18.028


No. 9
Zn2PO5 PBE relaxed; theoretical density = 4.01 g/cm3; space group = P-1, No. 2; formation energy from raw total energies = -1221 kJ/mol of formula units
1.0
5.640 0.000 0.000
0.316 5.730 0.000
1.447 1.544 6.194
Zn P O
4 2 10
Cartesian
0.706 1.843 1.882
2.425 4.279 0.051
4.979 2.995 6.143
6.698 5.431 4.312
2.138 2.630 4.760
5.266 4.643 1.434
0.436 4.349 0.113
1.325 1.618 3.890
2.347 3.945 4.003
2.404 2.544 1.143
3.493 1.962 5.166
3.911 5.312 1.028
4.999 4.729 5.051
5.057 3.329 2.191
6.079 5.656 2.304
6.968 2.924 6.081